PRh after structural relaxation, computed with PBE.

Lattice parameters (Å, degrees): 3.3193 11.2553 5.3515 90.00 90.00 90.00
Element x y z (fractional)
1 P 0.5000 0.1805 0.7328
2 P 0.5000 0.6805 0.2328
3 P 0.0000 0.5000 0.7265
4 P 0.5000 0.3195 0.2328
5 P 0.0000 0.0000 0.2265
6 P 0.5000 0.8195 0.7328
7 Rh 0.0000 0.6965 0.8882
8 Rh 0.0000 0.8035 0.3882
9 Rh 0.5000 0.0000 0.5334
10 Rh 0.5000 0.5000 0.0334
11 Rh 0.0000 0.3035 0.8882
12 Rh 0.0000 0.1965 0.3882

## Properties
The energy is -6.820 eV per atom. Its space group is Amm2, No. 38. For the density, the calculation gives 6.67 g cm⁻³. The value obtained for the density of states at the Fermi level is 4.493 states/eV/cell.